1.
DFT (GGA-PBE) results for a relaxed structure of NaTi2Ni2.

The structure in POSCAR format:
```
NaTi2Ni2
1.0
7.499 0.000 0.000
0.000 7.499 0.000
0.000 0.000 2.745
Na Ti Ni
2 4 4
Direct
0.000 0.000 0.000
0.500 0.500 0.000
0.154 0.346 0.500
0.346 0.846 0.500
0.654 0.154 0.500
0.846 0.654 0.500
0.132 0.632 0.000
0.368 0.132 0.000
0.632 0.868 0.000
0.868 0.368 0.000
```

Properties
As for the volume: 15.44 Å³ per atom. As for the density of states at the Fermi level: 1.019 states/eV per atom. Its raw total energy is -57.683 eV for the cell shown. Its density is 5.1 Mg/m³. The value obtained for the distance to the lowest polymorph of the same formula is 0.0 meV per atom.

2.
DFT (GGA-PBE) results for a relaxed structure of NaTiNi3.

The structure in POSCAR format:
```
NaTiNi3
1.0
4.465 0.000 0.000
0.000 4.465 0.000
0.000 0.000 4.465
Na Ti Ni
1 1 3
Direct
0.000 0.000 0.000
0.500 0.500 0.500
0.000 0.500 0.500
0.500 0.000 0.500
0.500 0.500 0.000
```

Properties
As for the volume: 17.80 Å³ per atom. As for the density of states at the Fermi level: 0.639 states/eV per atom. Its raw total energy is -22.952 eV for the cell shown. Its density is 4.6 Mg/m³. The value obtained for the distance to the lowest polymorph of the same formula is 0.0 meV per atom.

3.
DFT (GGA-PBE) results for a relaxed structure of NaTiNi2.

The structure in POSCAR format:
```
NaTiNi2
1.0
0.000 3.058 3.058
3.058 0.000 3.058
3.058 3.058 0.000
Na Ti Ni
1 1 2
Direct
0.000 0.000 0.000
0.500 0.500 0.500
0.250 0.250 0.250
0.750 0.750 0.750
```

Properties
As for the volume: 14.30 Å³ per atom. As for the density of states at the Fermi level: 1.087 states/eV per atom. Its raw total energy is -19.837 eV for the cell shown. Its density is 5.5 Mg/m³. The value obtained for the distance to the lowest polymorph of the same formula is 0.0 meV per atom.

4.
DFT (GGA-PBE) results for a relaxed structure of NaTi2VNi.

The structure in POSCAR format:
```
NaTi2VNi
1.0
4.621 0.000 0.000
0.000 4.621 0.000
0.000 0.000 4.152
Na Ti V Ni
1 2 1 1
Direct
0.000 0.000 0.000
0.000 0.500 0.000
0.500 0.000 0.000
0.500 0.500 0.500
0.000 0.000 0.500
```

Properties
As for the volume: 17.73 Å³ per atom. As for the density of states at the Fermi level: 1.208 states/eV per atom. Its raw total energy is -23.381 eV for the cell shown. Its density is 4.3 Mg/m³.